[1]
Material: BaCa2AcS4
Method: DFT, PBE
State: optimized geometry

Summary:
Space-group type: P2/m (10)
Raw formation energy in eV per atom: -2.042
Size of the total moment in μB per formula unit: 0.00

Cell lengths 4.227, 7.334, 7.355 Å; angles 70.70, 90.00, 90.00 degrees
Element x y z (fractional)
Ac 0.000 0.500 0.500
Ca 0.500 0.000 0.500
S 0.000 0.774 0.733
S 0.500 0.770 0.251
S 0.500 0.230 0.749
S 0.000 0.226 0.267
Ca 0.000 0.000 0.000
Ba 0.500 0.500 0.000

---

[2]
Material: Ba4CaAc3Se8
Method: DFT, PBE
State: optimized geometry

Summary:
Space-group type: R-3m (166)
Raw formation energy in eV per atom: -1.970
Size of the total moment in μB per formula unit: 0.00

Cell lengths 9.068, 9.157, 9.068 Å; angles 119.68, 120.00, 90.00 degrees
Element x y z (fractional)
Ac 0.000 0.500 0.500
Se 0.760 0.271 0.520
Se 0.749 0.729 0.989
Ba 0.000 0.000 0.000
Se 0.240 0.729 0.480
Ac 0.500 0.500 0.000
Se 0.251 0.271 0.011
Ac 0.500 0.500 0.500
Se 0.255 0.265 0.510
Ba 0.000 0.000 0.500
Ba 0.500 0.000 0.500
Ca 0.000 0.500 0.000
Se 0.745 0.735 0.490
Se 0.240 0.729 0.989
Se 0.760 0.271 0.011
Ba 0.500 0.000 0.000

---

[3]
Material: BaCa2AcSe4
Method: DFT, PBE
State: optimized geometry

Summary:
Space-group type: P2/m (10)
Raw formation energy in eV per atom: -1.948
Size of the total moment in μB per formula unit: 0.00

Cell lengths 4.393, 7.615, 7.646 Å; angles 70.69, 90.00, 90.00 degrees
Element x y z (fractional)
Se 0.500 0.230 0.750
Ca 0.000 0.000 0.000
Se 0.000 0.774 0.734
Se 0.500 0.770 0.250
Ac 0.000 0.500 0.500
Ba 0.500 0.500 0.000
Ca 0.500 0.000 0.500
Se 0.000 0.226 0.266

---

[4]
Material: BaCaAcSm
Method: DFT, PBE
State: optimized geometry

Summary:
Space-group type: F-43m (216)
Size of the total moment in μB per formula unit: 0.00
ΔH_f (0 K) in eV per atom: 0.16

Cell lengths 6.276, 6.276, 6.276 Å; angles 60.00, 60.00, 60.00 degrees
Element x y z (fractional)
Sm 0.750 0.750 0.750
Ba 0.250 0.250 0.250
Ca 0.000 0.000 0.000
Ac 0.500 0.500 0.500

---

[5]
Material: BaCaAcSn
Method: DFT, PBE
State: optimized geometry

Summary:
Space-group type: F-43m (216)
Size of the total moment in μB per formula unit: 0.00
ΔH_f (0 K) in eV per atom: -0.25

Cell lengths 6.022, 6.022, 6.022 Å; angles 60.00, 60.00, 60.00 degrees
Element x y z (fractional)
Ba 0.000 0.000 0.000
Sn 0.250 0.250 0.250
Ac 0.500 0.500 0.500
Ca 0.750 0.750 0.750

---

[6]
Material: Ba4Sr2Ca2Ac
Method: DFT, PBE
State: optimized geometry

Summary:
Space-group type: P-1 (2)
Size of the total moment in μB per formula unit: 0.00
ΔH_f (0 K) in eV per atom: 0.05

Cell lengths 7.900, 10.437, 6.779 Å; angles 108.89, 115.31, 81.16 degrees
Element x y z (fractional)
Sr 0.107 0.770 0.438
Sr 0.893 0.230 0.562
Ba 0.553 0.888 0.221
Ba 0.447 0.112 0.779
Ba 0.318 0.338 0.327
Ca 0.768 0.437 0.103
Ac 0.000 0.000 0.000
Ca 0.232 0.563 0.897
Ba 0.682 0.662 0.673

---

[7]
Material: BaSrCaAc
Method: DFT, PBE
State: optimized geometry

Summary:
Space-group type: F-43m (216)
Size of the total moment in μB per formula unit: 0.00
ΔH_f (0 K) in eV per atom: 0.09

Cell lengths 6.545, 6.545, 6.545 Å; angles 60.00, 60.00, 60.00 degrees
Element x y z (fractional)
Sr 0.250 0.250 0.250
Ac 0.750 0.750 0.750
Ba 0.000 0.000 0.000
Ca 0.500 0.500 0.500

---

[8]
Material: Ba2Sr2Ca5Ac
Method: DFT, PBE
State: optimized geometry

Summary:
Space-group type: P4/mbm (127)
Size of the total moment in μB per formula unit: 1.92
ΔH_f (0 K) in eV per atom: 0.16

Cell lengths 6.080, 12.957, 12.957 Å; angles 90.00, 90.00, 90.00 degrees
Element x y z (fractional)
Ca 0.500 0.304 0.572
Sr 0.000 0.881 0.381
Sr 0.000 0.381 0.119
Ca 0.500 0.804 0.928
Ca 0.500 0.500 0.000
Ba 0.000 0.823 0.677
Ba 0.000 0.323 0.823
Ba 0.000 0.177 0.323
Ca 0.500 0.072 0.804
Ca 0.500 0.428 0.304
Ac 0.000 0.000 0.000
Ca 0.500 0.196 0.072
Ca 0.500 0.696 0.428
Ca 0.500 0.000 0.500
Sr 0.000 0.119 0.619
Ac 0.000 0.500 0.500
Ba 0.000 0.677 0.177
Sr 0.000 0.619 0.881
Ca 0.500 0.928 0.196
Ca 0.500 0.572 0.696

---

[9]
Material: Ba2Sr4Ca2Ac
Method: DFT, PBE
State: optimized geometry

Summary:
Space-group type: P-1 (2)
Size of the total moment in μB per formula unit: 0.00
ΔH_f (0 K) in eV per atom: 0.05

Cell lengths 7.784, 12.074, 7.794 Å; angles 121.62, 129.28, 58.36 degrees
Element x y z (fractional)
Ca 0.899 0.435 0.101
Sr 0.560 0.775 0.439
Ac 0.000 0.000 0.000
Ba 0.672 0.335 0.328
Sr 0.777 0.892 0.223
Sr 0.440 0.225 0.561
Ca 0.101 0.565 0.899
Sr 0.223 0.108 0.777
Ba 0.328 0.665 0.672

---

[10]
Material: Ba2Sr5Ca2Ac
Method: DFT, PBE
State: optimized geometry

Summary:
Space-group type: P4/mbm (127)
Size of the total moment in μB per formula unit: 1.45
ΔH_f (0 K) in eV per atom: 0.14

Cell lengths 6.263, 13.286, 13.286 Å; angles 90.00, 90.00, 90.00 degrees
Element x y z (fractional)
Ca 0.000 0.384 0.116
Sr 0.500 0.299 0.573
Sr 0.500 0.500 0.000
Ba 0.000 0.178 0.322
Ca 0.000 0.884 0.384
Sr 0.500 0.427 0.299
Sr 0.500 0.000 0.500
Sr 0.500 0.573 0.701
Sr 0.500 0.799 0.927
Ba 0.000 0.822 0.678
Ac 0.000 0.000 0.000
Ca 0.000 0.116 0.616
Ba 0.000 0.678 0.178
Ba 0.000 0.322 0.822
Sr 0.500 0.701 0.427
Sr 0.500 0.073 0.799
Ac 0.000 0.500 0.500
Sr 0.500 0.201 0.073
Ca 0.000 0.616 0.884
Sr 0.500 0.927 0.201

---

[11]
Material: BaSrCaAc
Method: DFT, PBE
State: optimized geometry

Summary:
Space-group type: R3m (160)
Size of the total moment in μB per formula unit: 0.00
ΔH_f (0 K) in eV per atom: 0.06

Cell lengths 4.103, 4.103, 13.856 Å; angles 81.49, 81.49, 60.00 degrees
Element x y z (fractional)
Ba 0.277 0.277 0.170
Ac 0.771 0.771 0.686
Ca 0.027 0.027 0.918
Sr 0.521 0.521 0.438

---

[12]
Material: Ba3Ca2AcTe6
Method: DFT, PBE
State: optimized geometry

Summary:
Space-group type: C2/m (12)
Raw formation energy in eV per atom: -1.673
Size of the total moment in μB per formula unit: 0.00

Cell lengths 8.272, 8.272, 8.374 Å; angles 99.50, 99.50, 120.01 degrees
Element x y z (fractional)
Ba 0.165 0.835 0.500
Ba 0.835 0.165 0.500
Ca 0.667 0.333 0.000
Te 0.734 0.734 0.226
Te 0.076 0.416 0.227
Te 0.416 0.076 0.227
Ac 0.000 0.000 0.000
Te 0.266 0.266 0.774
Te 0.584 0.924 0.773
Te 0.924 0.584 0.773
Ca 0.333 0.667 0.000
Ba 0.500 0.500 0.500